This record from Alexandria describes a relaxed structure of Rb2Cr3O6. The functional is PBE with a Hubbard U.

abc: 5.2863 5.2854 6.6860
angles: 82.45 74.76 59.99
Site moments in Bohr magnetons follow the coordinates.
Element x y z (fractional)
Rb: 0.1667 0.6665 0.5000  0.00
Rb: 0.8333 0.3335 0.5000  0.00
Cr: 0.0000 0.0000 0.0000  2.83
Cr: 0.3339 0.3321 0.0000  2.84
Cr: 0.6661 0.6679 0.0000  2.84
O: 0.3846 0.6656 0.8456  -0.11
O: 0.7192 0.0000 0.8456  -0.10
O: 0.0502 0.3344 0.8456  -0.11
O: 0.2808 0.0000 0.1544  -0.10
O: 0.6154 0.3344 0.1544  -0.11
O: 0.9498 0.6656 0.1544  -0.11

Summary:
The value obtained for the raw total energy is -6.68 eV per atom. Its space-group type is C2/m, No. 12.